No. 1
The following is a DFT calculation (PBE) of a relaxed structure of SrCoNi2.

Cell lengths 4.8195, 4.8195, 4.8195 Å; angles 130.87, 113.47, 86.98 degrees
Atoms (fractional coordinates):
Sr 0.0000 0.0000 0.0000
Co 0.5000 0.5000 0.0000
Ni 0.3244 0.8244 0.5000
Ni 0.6756 0.1756 0.5000

The total magnetic moment is 2.380 μB/f.u. The value obtained for the formation energy is 0.496 eV/atom. For the total energy, the calculation gives -4.591 eV/atom. For the density of states at the Fermi level, the calculation gives 6.550 states/eV per cell.

=====

No. 2
The following is a DFT calculation (PBE) of a relaxed structure of SrCoNi2.

Cell lengths 4.9275, 4.9275, 4.9275 Å; angles 131.92, 131.92, 70.36 degrees
Atoms (fractional coordinates):
Sr 0.0000 0.0000 0.0000
Co 0.2500 0.7500 0.5000
Ni 0.5000 0.5000 0.0000
Ni 0.7500 0.2500 0.5000

The total magnetic moment is 2.428 μB/f.u. The value obtained for the formation energy is 0.631 eV/atom. For the total energy, the calculation gives -4.457 eV/atom. For the density of states at the Fermi level, the calculation gives 6.639 states/eV per cell.

=====

No. 3
The following is a DFT calculation (PBE) of a relaxed structure of SrCo3Ni.

Cell lengths 4.6116, 4.6116, 4.6116 Å; angles 90.00, 90.00, 90.00 degrees
Atoms (fractional coordinates):
Sr 0.0000 0.0000 0.0000
Co 0.0000 0.0000 0.5000
Co 0.0000 0.5000 0.0000
Co 0.5000 0.0000 0.0000
Ni 0.5000 0.5000 0.5000

The total magnetic moment is 4.712 μB/f.u. The value obtained for the formation energy is 2.420 eV/atom. For the total energy, the calculation gives -3.336 eV/atom. For the energy above the most stable polymorph in this dataset, the calculation gives 1742.3 meV per atom. For the density of states at the Fermi level, the calculation gives 11.213 states/eV per cell.

=====

Question: Which of these has the highest total magnetic moment?
Answer: SrCo3Ni

=====

Question: What is the formula in the third record?
Answer: SrCo3Ni

=====

Question: formation energy of number 1 (SrCoNi2)?
Answer: 0.496 eV/atom